Entry 1:
Cs2InGa4Sn3: relaxed, GGA-PBE.

abc: 5.0353 5.0353 11.6356
angles: 90.00 90.00 90.00
Fractional coordinates of all 10 atoms:
1 Cs 0.5000 0.0000 0.2439
2 Cs 0.0000 0.5000 0.7561
3 In 0.5000 0.5000 0.5000
4 Ga 0.5000 0.5000 0.0000
5 Ga 0.0000 0.0000 0.0000
6 Ga 0.5000 0.0000 0.6299
7 Ga 0.0000 0.5000 0.3701
8 Sn 0.0000 0.0000 0.5000
9 Sn 0.5000 0.0000 0.8758
10 Sn 0.0000 0.5000 0.1242

Results
Formation energy: -0.140 eV per atom

=====

Entry 2:
CsInGaTe4: relaxed, GGA-PBE.

abc: 7.3302 7.3549 11.2039
angles: 90.00 104.45 90.00
Fractional coordinates of all 14 atoms:
1 Cs 0.7845 0.7500 0.9525
2 Cs 0.2155 0.2500 0.0475
3 In 0.6983 0.7500 0.3175
4 In 0.3017 0.2500 0.6825
5 Ga 0.2026 0.7500 0.3111
6 Ga 0.7974 0.2500 0.6889
7 Te 0.0409 0.5222 0.7070
8 Te 0.9591 0.0222 0.2930
9 Te 0.9591 0.4778 0.2930
10 Te 0.0409 0.9778 0.7070
11 Te 0.3654 0.7500 0.1232
12 Te 0.6346 0.2500 0.8768
13 Te 0.5032 0.7500 0.5085
14 Te 0.4968 0.2500 0.4915

Results
Energy relative to the elements, uncorrected: -0.465 eV/atom

=====

Entry 3:
CsTl2InGa: relaxed, GGA-PBE.

abc: 5.8177 5.8177 5.7546
angles: 90.00 90.00 90.00
Fractional coordinates of all 5 atoms:
1 Cs 0.5000 0.5000 0.5000
2 Tl 0.0000 0.5000 0.0000
3 Tl 0.5000 0.0000 0.0000
4 Ga 0.0000 0.0000 0.0000
5 In 0.0000 0.0000 0.5000

Results
Formation energy: 0.086 eV per atom

=====

Entry 4:
Cs2Tl3In4Ga: relaxed, GGA-PBE.

abc: 5.1954 5.1954 12.8328
angles: 90.00 90.00 90.00
Fractional coordinates of all 10 atoms:
1 Cs 0.5000 0.0000 0.2553
2 Cs 0.0000 0.5000 0.7447
3 Tl 0.0000 0.0000 0.5000
4 Tl 0.5000 0.0000 0.8615
5 Tl 0.0000 0.5000 0.1385
6 In 0.5000 0.5000 0.0000
7 In 0.0000 0.0000 0.0000
8 In 0.5000 0.0000 0.6205
9 In 0.0000 0.5000 0.3795
10 Ga 0.5000 0.5000 0.5000

Results
Formation energy: -0.066 eV per atom

=====

Entry 5:
CsTl2In4Ga: relaxed, GGA-PBE.

abc: 5.3238 5.3238 11.2567
angles: 76.32 76.32 60.00
Fractional coordinates of all 8 atoms:
1 Cs 0.0000 0.0000 0.0000
2 Tl 0.7595 0.7595 0.7214
3 Tl 0.2405 0.2405 0.2786
4 In 0.4130 0.4130 0.7611
5 In 0.8616 0.8616 0.4151
6 In 0.1384 0.1384 0.5849
7 In 0.5870 0.5870 0.2389
8 Ga 0.5000 0.5000 0.5000

Results
Formation energy: -0.037 eV per atom

=====

Entry 6:
CsGa4Ir: relaxed, GGA-PBE.

abc: 5.6562 6.2852 9.8384
angles: 108.63 105.55 90.00
Fractional coordinates of all 12 atoms:
1 Cs 0.7359 0.7857 0.5713
2 Cs 0.2641 0.2143 0.4287
3 Ga 0.0313 0.6209 0.2417
4 Ga 0.3674 0.1594 0.8360
5 Ga 0.0000 0.1896 0.0000
6 Ga 0.6326 0.3234 0.1640
7 Ga 0.9687 0.3791 0.7583
8 Ga 0.6326 0.8406 0.1640
9 Ga 0.0000 0.8104 0.0000
10 Ga 0.3674 0.6766 0.8360
11 Ir 0.2855 0.5294 0.0587
12 Ir 0.7145 0.4706 0.9413

Results
Formation energy: -0.212 eV per atom

=====

Calculated values (μB per atom) of spin magnetization for the records, taken in order: 0.0000; 0.0000; 0.0000; 0.0000; 0.0000; 0.0000.